[1]
# HfTi2Ir, relaxed, DFT PBE
data_HfTi2Ir
_chemical_formula_sum 'Hf2 Ti4 Ir2'
_cell_length_a 7.4107
_cell_length_b 7.4107
_cell_length_c 5.9159
_cell_angle_alpha 51.22
_cell_angle_beta 51.22
_cell_angle_gamma 90.00
_space_group_name_H-M_alt 'P 1'
_space_group_IT_number 1
_space_group_name_Hall 'P 1'
loop_
_atom_site_label
_atom_site_type_symbol
_atom_site_fract_x
_atom_site_fract_y
_atom_site_fract_z
Ir1 Ir 0.0000 0.0000 0.0000
Ir2 Ir 0.7500 0.2500 0.5000
Hf1 Hf 0.5000 0.5000 0.0000
Hf2 Hf 0.2500 0.7500 0.5000
Ti1 Ti 0.6716 0.1250 0.2500
Ti2 Ti 0.0784 0.6250 0.2500
Ti3 Ti 0.3750 0.3284 0.7500
Ti4 Ti 0.8750 0.9216 0.7500
# ΔH_f (0 K) ... -0.6 eV per formula unit
# E_tot ... -35.221 eV/f.u.
# E above lowest polymorph ... 396 meV/atom



[2]
# HfTiIr6, relaxed, DFT PBE
data_HfTiIr6
_chemical_formula_sum 'Hf1 Ti1 Ir6'
_cell_length_a 3.9031
_cell_length_b 5.5591
_cell_length_c 5.5591
_cell_angle_alpha 90.00
_cell_angle_beta 90.00
_cell_angle_gamma 90.00
_space_group_name_H-M_alt 'P 1'
_space_group_IT_number 1
_space_group_name_Hall 'P 1'
loop_
_atom_site_label
_atom_site_type_symbol
_atom_site_fract_x
_atom_site_fract_y
_atom_site_fract_z
Hf1 Hf 0.5000 0.5000 0.5000
Ti1 Ti 0.5000 0.0000 0.0000
Ir1 Ir 0.0000 0.7558 0.2442
Ir2 Ir 0.0000 0.2442 0.7558
Ir3 Ir 0.0000 0.7559 0.7559
Ir4 Ir 0.0000 0.2441 0.2441
Ir5 Ir 0.5000 0.5000 0.0000
Ir6 Ir 0.5000 0.0000 0.5000
# ΔH_f (0 K) ... -6.0 eV per formula unit
# E_tot ... -77.014 eV/f.u.